The following is a DFT calculation (GGA-PBE) of a geometry-optimized ZrNbTeN2 structure.

abc: 4.099 4.099 5.533
angles: 90.00 90.00 90.00
Atoms (fractional coordinates):
1 Zr 0.500 0.500 0.500
2 N 0.500 0.000 0.000
3 N 0.000 0.500 0.000
4 Te 0.000 0.000 0.500
5 Nb 0.000 0.000 0.000

Symmetry: P4/mmm, No. 123
Energy in eV per atom: -7.443
Total magnetic moment in μB per atom: 0.000
Energy above the lowest structure with this stoichiometry in meV/atom: 0.0